The following is a GGA-PBE calculation of a relaxed Ba3LaOs crystal, from the Alexandria database.

Computed properties:
* DFT total energy: -12.9 eV/f.u.
* M_tot: 1.11 μB/f.u.

Cell: 6.0952 6.0952 6.0952 Å, 90.00 90.00 90.00°
Last column: magnetic moment on the atom in μB.
Positions (direct):
Os  0.5000  0.5000  0.5000  0.11
Ba  0.0000  0.5000  0.0000  -0.09
Ba  0.0000  0.0000  0.5000  -0.20
Ba  0.5000  0.0000  0.0000  -0.03
La  0.0000  0.0000  0.0000  -0.44

The following is a GGA-PBE calculation of a relaxed TbHoNp2Sb4 crystal, from the Alexandria database.

Computed properties:
* DFT total energy: -56.7 eV/f.u.
* M_tot: 0.01 μB/f.u.

Cell: 4.3699 7.6317 7.6111 Å, 109.14 90.00 90.00°
Last column: magnetic moment on the atom in μB.
Positions (direct):
Tb  0.5000  0.5000  0.0000  0.02
Ho  0.0000  0.0000  0.0000  -0.03
Np  0.5000  0.0000  0.5000  -3.87
Np  0.0000  0.5000  0.5000  3.88
Sb  0.5000  0.2480  0.2484  -0.02
Sb  0.5000  0.7520  0.7516  -0.02
Sb  0.0000  0.2496  0.7509  0.02
Sb  0.0000  0.7504  0.2491  0.02

The following is a GGA-PBE calculation of a relaxed TlSn2Bi2 crystal, from the Alexandria database.

Computed properties:
* relative energy among the computed polymorphs: 0.040 eV per atom
* DFT total energy: -17.7 eV/f.u.
* M_tot: 0.00 μB/f.u.

Cell: 4.8462 4.8462 8.2113 Å, 72.84 72.84 90.00°
Positions (direct):
Tl  0.0000  0.0000  0.0000
Bi  0.3906  0.3906  0.2188
Bi  0.6094  0.6094  0.7812
Sn  0.7500  0.2500  0.5000
Sn  0.2500  0.7500  0.5000